Material: Tb5P4S
Method: DFT, PBE
State: optimized geometry

Structure (POSCAR):
```
Tb5P4S
1.0
-4.484 4.484 2.835
4.484 -4.484 2.835
4.484 4.484 -2.835
Tb P S
5 4 1
Cartesian
0.000 0.000 0.000 Tb
3.573 1.763 0.000 Tb
2.721 -0.911 2.835 Tb
1.763 5.395 0.000 Tb
0.911 2.721 2.835 Tb
6.291 0.900 0.000 P
0.900 2.677 0.000 P
3.584 1.807 2.835 P
-1.807 3.584 2.835 P
0.000 0.000 2.835 S
```

Theoretical density, Mg/m³: 6.923
Density of states at the Fermi level, states/eV/cell: 2.1
Total magnetic moment, μB/atom: 0.00
Final energy, eV/cell: -66.4